(1)
VASP calculation (PBE-GGA) on an optimized crystal structure of In7Ga2Hg2.

abc: 9.425 9.425 5.211
angles: 105.65 105.65 40.07
Sites, in units of the cell vectors:
In: 0.000 0.000 0.000
In: 0.091 0.581 0.195
In: 0.414 0.414 0.790
In: 0.419 0.909 0.805
In: 0.581 0.091 0.195
In: 0.586 0.586 0.210
In: 0.909 0.419 0.805
Ga: 0.229 0.771 0.500
Ga: 0.771 0.229 0.500
Hg: 0.192 0.192 0.344
Hg: 0.808 0.808 0.656

Values from the calculation:
E_tot = -2.3102 eV/atom
total magnetization = 0.0 μB per formula unit
DOS at the Fermi energy = 4.2 states/eV per cell
ΔH_f (0 K) = 0.038 eV per atom

---

(2)
VASP calculation (PBE-GGA) on an optimized crystal structure of SiRh2Pb.

abc: 4.906 4.906 4.906
angles: 137.23 116.71 79.43
Sites, in units of the cell vectors:
Si: 0.000 0.000 0.000
Rh: 0.197 0.697 0.500
Rh: 0.803 0.303 0.500
Pb: 0.500 0.500 0.000

Values from the calculation:
E_tot = -6.1611 eV/atom
total magnetization = 0.0 μB per formula unit
DOS at the Fermi energy = 2.0 states/eV per cell
uncorrected formation energy = -0.20 eV/atom

---

(3)
VASP calculation (PBE-GGA) on an optimized crystal structure of Cu2SiNi.

abc: 4.523 4.523 4.281
angles: 110.51 110.51 35.08
Sites, in units of the cell vectors:
Cu: 0.000 0.000 0.000
Cu: 0.240 0.240 0.832
Si: 0.502 0.502 0.483
Ni: 0.769 0.769 0.359

Values from the calculation:
E_tot = -5.0014 eV/atom
total magnetization = 0.0 μB per formula unit
DOS at the Fermi energy = 0.9 states/eV per cell
uncorrected formation energy = -0.15 eV/atom

---

(4)
VASP calculation (PBE-GGA) on an optimized crystal structure of GdCdHg.

abc: 6.575 6.575 6.575
angles: 148.94 148.94 44.49
Sites, in units of the cell vectors:
Gd: 0.000 0.000 0.000
Cd: 0.322 0.322 0.000
Hg: 0.667 0.667 0.000

Values from the calculation:
E_tot = -5.4161 eV/atom
total magnetization = 7.3 μB per formula unit
DOS at the Fermi energy = 2.1 states/eV per cell
ΔH_f (0 K) = -0.317 eV per atom

---

(5)
VASP calculation (PBE-GGA) on an optimized crystal structure of LiFe2Si.

abc: 5.144 5.144 5.144
angles: 103.59 103.59 122.00
Sites, in units of the cell vectors:
Li: 0.000 0.000 0.000
Li: 0.750 0.250 0.500
Fe: 0.138 0.625 0.013
Fe: 0.375 0.388 0.513
Fe: 0.612 0.125 0.987
Fe: 0.875 0.862 0.487
Si: 0.250 0.750 0.500
Si: 0.500 0.500 0.000

Values from the calculation:
E_tot = -5.8229 eV/atom
total magnetization = 4.2 μB per formula unit
DOS at the Fermi energy = 4.2 states/eV per cell
uncorrected formation energy = 0.24 eV/atom

---

(6)
VASP calculation (PBE-GGA) on an optimized crystal structure of Dy2SeN.

abc: 3.663 3.663 13.110
angles: 90.00 90.00 120.00
Sites, in units of the cell vectors:
Dy: 0.333 0.667 0.099
Dy: 0.333 0.667 0.401
Dy: 0.667 0.333 0.599
Dy: 0.667 0.333 0.901
Se: 0.333 0.667 0.750
Se: 0.667 0.333 0.250
N: 0.000 0.000 0.000
N: 0.000 0.000 0.500

Values from the calculation:
E_tot = -6.9670 eV/atom
total magnetization = 0.0 μB per formula unit
DOS at the Fermi energy = 3.2 states/eV per cell
uncorrected formation energy = -1.71 eV/atom

---

(7)
VASP calculation (PBE-GGA) on an optimized crystal structure of ErTmMgFe.

abc: 4.986 4.986 4.986
angles: 60.00 60.00 60.00
Sites, in units of the cell vectors:
Er: 0.000 0.000 0.000
Tm: 0.500 0.500 0.500
Mg: 0.750 0.750 0.750
Fe: 0.250 0.250 0.250

Values from the calculation:
E_tot = -4.6631 eV/atom
total magnetization = 1.3 μB per formula unit
DOS at the Fermi energy = 7.3 states/eV per cell
ΔH_f (0 K) = 0.110 eV per atom

---

(8)
VASP calculation (PBE-GGA) on an optimized crystal structure of CaPO2.

abc: 6.624 6.624 6.624
angles: 28.83 28.83 28.83
Sites, in units of the cell vectors:
Ca: 0.000 0.000 0.000
P: 0.500 0.500 0.500
O: 0.115 0.115 0.115
O: 0.885 0.885 0.885

Values from the calculation:
E_tot = -5.0704 eV/atom
total magnetization = 0.0 μB per formula unit
DOS at the Fermi energy = 1.4 states/eV per cell
uncorrected formation energy = -0.74 eV/atom

---

(9)
VASP calculation (PBE-GGA) on an optimized crystal structure of TcAg3.

abc: 4.786 5.909 4.957
angles: 90.00 90.00 90.00
Sites, in units of the cell vectors:
Tc: 0.250 0.250 0.167
Tc: 0.750 0.750 0.833
Ag: 0.250 0.501 0.670
Ag: 0.250 0.750 0.166
Ag: 0.250 0.999 0.670
Ag: 0.750 0.001 0.330
Ag: 0.750 0.250 0.834
Ag: 0.750 0.499 0.330

Values from the calculation:
E_tot = -4.1332 eV/atom
total magnetization = 2.9 μB per formula unit
DOS at the Fermi energy = 5.6 states/eV per cell
ΔH_f (0 K) = 0.597 eV per atom

---

(10)
VASP calculation (PBE-GGA) on an optimized crystal structure of Ac2RuO6.

abc: 5.654 6.541 9.235
angles: 90.00 122.56 90.00
Sites, in units of the cell vectors:
Ac: 0.219 0.096 0.253
Ac: 0.219 0.404 0.753
Ac: 0.781 0.596 0.247
Ac: 0.781 0.904 0.747
Ru: 0.500 0.000 0.000
Ru: 0.500 0.500 0.500
O: 0.158 0.143 0.953
O: 0.158 0.357 0.453
O: 0.309 0.736 0.939
O: 0.309 0.764 0.439
O: 0.383 0.045 0.764
O: 0.383 0.455 0.264
O: 0.617 0.545 0.736
O: 0.617 0.955 0.236
O: 0.691 0.236 0.561
O: 0.691 0.264 0.061
O: 0.842 0.643 0.547
O: 0.842 0.857 0.047

Values from the calculation:
E_tot = -7.5555 eV/atom
total magnetization = 2.0 μB per formula unit
DOS at the Fermi energy = 11.3 states/eV per cell
uncorrected formation energy = -2.31 eV/atom